A plane-wave DFT calculation with PBE-GGA was carried out for a geometry-optimized LaSc2Cu2 structure.

Results
Energy above the most stable polymorph in this dataset ... 0.0 meV per atom
D(E_F) ... 1.112 states/eV/atom
V ... 22.37 Å³ per atom
ΔH_f (0 K) ... -0.1066 eV per atom

abc: 4.546 4.546 6.293
angles: 68.83 68.83 90.00
Fractional positions:
Sc (0.750, 0.250, 0.500)
Cu (0.611, 0.611, 0.778)
La (0.000, 0.000, 0.000)
Cu (0.389, 0.389, 0.222)
Sc (0.250, 0.750, 0.500)